# BaSc2Cl

A relaxed BaSc2Cl crystal (PBEsol, Alexandria via LeMat-Bulk).

## Properties
Magnetization, μB per cell: 0.0
V, Å³/atom: 27.1
Raw formation energy, eV/atom: -0.475
Relative energy among the computed polymorphs, eV per atom: 0.000
Crystal system: orthorhombic
SG: Cmm2 (35)

a = 3.773 Å, b = 5.751 Å, c = 9.981 Å
α = 90.00°, β = 90.00°, γ = 90.00°
Fractional positions:
Ba 0.000 0.000 0.000
Ba 0.500 0.500 0.000
Sc 0.000 0.000 0.451
Sc 0.000 0.500 0.686
Sc 0.500 0.000 0.686
Sc 0.500 0.500 0.451
Cl 0.000 0.500 0.262
Cl 0.500 0.000 0.262